Here is a relaxed Mn2Ga2Ni3 crystal from the Alexandria database. Energies are from PBE.

The value obtained for the electronic total energy is -85.51 eV for the cell shown. The space-group type is C2/m, No. 12. As for the energy of formation from the pure elements: -14.06 kJ/mol of atoms.

The structure in POSCAR format:
```
Mn2Ga2Ni3
1.0
7.093 0.000 0.000
0.000 4.095 0.000
-2.373 0.000 6.498
Mn Ga Ni
4 4 6
direct
0.129 0.000 0.386 Mn
0.371 0.500 0.614 Mn
0.629 0.500 0.386 Mn
0.871 0.000 0.614 Mn
0.109 0.500 0.828 Ga
0.391 0.000 0.172 Ga
0.609 0.000 0.828 Ga
0.891 0.500 0.172 Ga
0.000 0.000 0.000 Ni
0.242 0.500 0.228 Ni
0.258 0.000 0.772 Ni
0.500 0.500 0.000 Ni
0.742 0.000 0.228 Ni
0.758 0.500 0.772 Ni
```


Here is a relaxed Ac2ScCu2Se6 crystal from the Alexandria database. Energies are from PBE.

The value obtained for the electronic total energy is -55.61 eV for the cell shown. The space-group type is R-3m, No. 166. As for the uncorrected formation energy: -11.96 eV per formula unit.

The structure in POSCAR format:
```
Ac2ScCu2Se6
1.0
3.668 2.118 6.602
-3.668 2.118 6.602
0.000 -4.236 6.602
Ac Sc Cu Se
2 1 2 6
direct
0.214 0.214 0.214 Ac
0.786 0.786 0.786 Ac
0.000 0.000 0.000 Sc
0.425 0.425 0.425 Cu
0.575 0.575 0.575 Cu
0.215 0.755 0.755 Se
0.245 0.245 0.785 Se
0.245 0.785 0.245 Se
0.755 0.215 0.755 Se
0.755 0.755 0.215 Se
0.785 0.245 0.245 Se
```


Here is a relaxed Cr2ReTe crystal from the Alexandria database. Energies are from PBE.

The value obtained for the electronic total energy is -96.52 eV for the cell shown. The space-group type is R3m, No. 160. As for the uncorrected formation energy: 2.66 eV per formula unit.

The structure in POSCAR format:
```
Cr2ReTe
1.0
2.985 0.000 0.000
-1.493 2.585 0.000
0.000 0.000 24.320
Cr Re Te
6 3 3
direct
0.000 0.000 0.000 Cr
0.000 0.000 0.263 Cr
0.333 0.667 0.667 Cr
0.333 0.667 0.930 Cr
0.667 0.333 0.333 Cr
0.667 0.333 0.596 Cr
0.000 0.000 0.745 Re
0.333 0.667 0.412 Re
0.667 0.333 0.079 Re
0.000 0.000 0.507 Te
0.333 0.667 0.174 Te
0.667 0.333 0.840 Te
```


Here is a relaxed Pr3DyGe2 crystal from the Alexandria database. Energies are from PBE.

The value obtained for the electronic total energy is -63.55 eV for the cell shown. The space-group type is Immm, No. 71. As for the energy of formation from the pure elements: -57.91 kJ/mol of atoms.

The structure in POSCAR format:
```
Pr3DyGe2
1.0
4.483 0.000 0.000
0.000 4.603 0.000
0.000 0.000 16.617
Pr Dy Ge
6 2 4
direct
0.000 0.000 0.000 Pr
0.000 0.500 0.319 Pr
0.000 0.500 0.681 Pr
0.500 0.000 0.181 Pr
0.500 0.000 0.819 Pr
0.500 0.500 0.500 Pr
0.000 0.000 0.500 Dy
0.500 0.500 0.000 Dy
0.000 0.500 0.132 Ge
0.000 0.500 0.868 Ge
0.500 0.000 0.368 Ge
0.500 0.000 0.632 Ge
```


Here is a relaxed ZrTeAsI2 crystal from the Alexandria database. Energies are from PBE.

Its offset from the most stable computed form is 0.483 eV per atom. The value obtained for the electronic total energy is -16.61 eV for the cell shown. The space-group type is P4/mmm, No. 123. As for the uncorrected formation energy: 2.83 eV per formula unit.

The structure in POSCAR format:
```
ZrTeAsI2
1.0
5.455 0.000 0.000
0.000 5.455 0.000
0.000 0.000 5.660
Zr Te As I
1 1 1 2
direct
0.000 0.000 0.000 Zr
0.500 0.500 0.000 Te
0.500 0.500 0.500 As
0.000 0.500 0.500 I
0.500 0.000 0.500 I
```


Here is a relaxed Sc5O crystal from the Alexandria database. Energies are from PBE.

Its offset from the most stable computed form is 0.000 eV per atom. The value obtained for the electronic total energy is -84.23 eV for the cell shown. The space-group type is C2/c, No. 15. As for the uncorrected formation energy: -5.50 eV per formula unit.

The structure in POSCAR format:
```
Sc5O
1.0
4.320 -3.836 0.000
4.320 3.836 0.000
-4.156 0.000 7.426
Sc O
10 2
direct
0.062 0.938 0.750 Sc
0.220 0.359 0.652 Sc
0.250 0.673 0.040 Sc
0.327 0.750 0.460 Sc
0.359 0.220 0.152 Sc
0.641 0.780 0.848 Sc
0.673 0.250 0.540 Sc
0.750 0.327 0.960 Sc
0.780 0.641 0.348 Sc
0.938 0.062 0.250 Sc
0.000 0.000 0.000 O
0.000 0.000 0.500 O
```


Here is a relaxed Ni2IrBr crystal from the Alexandria database. Energies are from PBE.

Its offset from the most stable computed form is 0.457 eV per atom. The value obtained for the electronic total energy is -75.21 eV for the cell shown. The space-group type is I-42d, No. 122. As for the uncorrected formation energy: 3.29 eV per formula unit.

The structure in POSCAR format:
```
Ni2IrBr
1.0
6.039 0.000 0.000
0.000 6.039 0.000
0.000 0.000 8.485
Ni Ir Br
8 4 4
direct
0.239 0.250 0.125 Ni
0.250 0.739 0.375 Ni
0.250 0.761 0.875 Ni
0.261 0.250 0.625 Ni
0.739 0.750 0.625 Ni
0.750 0.239 0.875 Ni
0.750 0.261 0.375 Ni
0.761 0.750 0.125 Ni
0.000 0.000 0.000 Ir
0.000 0.500 0.250 Ir
0.500 0.000 0.750 Ir
0.500 0.500 0.500 Ir
0.000 0.000 0.500 Br
0.000 0.500 0.750 Br
0.500 0.000 0.250 Br
0.500 0.500 0.000 Br
```


Here is a relaxed KTe2IrI crystal from the Alexandria database. Energies are from PBE.

Its offset from the most stable computed form is 0.000 eV per atom. The value obtained for the electronic total energy is -18.35 eV for the cell shown. The space-group type is P4/mmm, No. 123. As for the uncorrected formation energy: -0.56 eV per formula unit.

The structure in POSCAR format:
```
KTe2IrI
1.0
5.292 0.000 0.000
0.000 5.292 0.000
0.000 0.000 5.913
K Te Ir I
1 2 1 1
direct
0.000 0.000 0.000 K
0.000 0.500 0.500 Te
0.500 0.000 0.500 Te
0.500 0.500 0.500 Ir
0.500 0.500 0.000 I
```


Here is a relaxed Pm5Pt6 crystal from the Alexandria database. Energies are from PBE.

The value obtained for the electronic total energy is -72.34 eV for the cell shown. The space-group type is Cmmm, No. 65. As for the energy of formation from the pure elements: -108.24 kJ/mol of atoms.

The structure in POSCAR format:
```
Pm5Pt6
1.0
2.185 -15.024 0.000
2.185 15.024 0.000
0.000 0.000 3.952
Pm Pt
5 6
direct
0.000 0.000 0.000 Pm
0.199 0.801 0.500 Pm
0.382 0.618 0.000 Pm
0.618 0.382 0.000 Pm
0.801 0.199 0.500 Pm
0.099 0.901 0.500 Pt
0.282 0.718 0.000 Pt
0.457 0.543 0.500 Pt
0.543 0.457 0.500 Pt
0.718 0.282 0.000 Pt
0.901 0.099 0.500 Pt
```


Here is a relaxed K2ScI5 crystal from the Alexandria database. Energies are from PBE.

Its offset from the most stable computed form is 0.009 eV per atom. The value obtained for the electronic total energy is -53.26 eV for the cell shown. The space-group type is I4mm, No. 107. As for the uncorrected formation energy: -10.35 eV per formula unit.

The structure in POSCAR format:
```
K2ScI5
1.0
8.765 0.000 0.000
0.000 8.765 0.000
0.000 0.000 10.262
K Sc I
4 2 10
direct
0.000 0.500 0.000 K
0.000 0.500 0.500 K
0.500 0.000 0.000 K
0.500 0.000 0.500 K
0.000 0.000 0.261 Sc
0.500 0.500 0.761 Sc
0.000 0.000 0.522 I
0.227 0.227 0.211 I
0.227 0.773 0.211 I
0.273 0.273 0.711 I
0.273 0.727 0.711 I
0.500 0.500 0.022 I
0.727 0.273 0.711 I
0.727 0.727 0.711 I
0.773 0.227 0.211 I
0.773 0.773 0.211 I
```


Here is a relaxed Cs2SbC crystal from the Alexandria database. Energies are from PBE.

Its offset from the most stable computed form is 0.622 eV per atom. The value obtained for the electronic total energy is -39.31 eV for the cell shown. The space-group type is Fm-3m, No. 225. As for the uncorrected formation energy: 5.23 eV per formula unit.

The structure in POSCAR format:
```
Cs2SbC
1.0
8.897 0.000 0.000
0.000 8.897 0.000
0.000 0.000 8.897
Cs Sb C
8 4 4
direct
0.250 0.250 0.250 Cs
0.250 0.250 0.750 Cs
0.250 0.750 0.250 Cs
0.250 0.750 0.750 Cs
0.750 0.250 0.250 Cs
0.750 0.250 0.750 Cs
0.750 0.750 0.250 Cs
0.750 0.750 0.750 Cs
0.000 0.000 0.000 Sb
0.000 0.500 0.500 Sb
0.500 0.000 0.500 Sb
0.500 0.500 0.000 Sb
0.000 0.000 0.500 C
0.000 0.500 0.000 C
0.500 0.000 0.000 C
0.500 0.500 0.500 C
```


Here is a relaxed TiRhC3 crystal from the Alexandria database. Energies are from PBE.

Its offset from the most stable computed form is 0.000 eV per atom. The value obtained for the electronic total energy is -32.94 eV for the cell shown. The space-group type is Pm-3m, No. 221. As for the energy of formation from the pure elements: 192.55 kJ/mol of atoms.

The structure in POSCAR format:
```
TiRhC3
1.0
3.931 0.000 0.000
0.000 3.931 0.000
0.000 0.000 3.931
Ti Rh C
1 1 3
direct
0.000 0.000 0.000 Ti
0.500 0.500 0.500 Rh
0.000 0.500 0.500 C
0.500 0.000 0.500 C
0.500 0.500 0.000 C
```


Which of these has the lowest electronic total energy?
Cr2ReTe


Which value of electronic total energy does entry 4 give?
-63.55 eV for the cell shown